#i
This record from Alexandria describes a relaxed SrPPd3 crystal. The functional is PBE.

Values from the calculation:
- ρ: 7.32 Mg/m³
- Calculated volume: 19.86 Å³ per atom
- Magnetization: 0.00 μB/f.u.
- Space-group type: P2_1/m (11)

Cell: 7.972 6.812 4.383 Å, 90.00 56.55 90.00°
Element x y z (fractional)
Sr1 0.666 0.250 0.584
Sr2 0.334 0.750 0.416
Pd1 0.138 0.051 0.112
Pd2 0.862 0.949 0.888
Pd3 0.138 0.449 0.112
Pd4 0.862 0.551 0.888
Pd5 0.354 0.250 0.396
Pd6 0.646 0.750 0.604
P1 0.019 0.250 0.730
P2 0.981 0.750 0.270

#ii
This record from Alexandria describes a relaxed SrPPd3 crystal. The functional is PBE.

Values from the calculation:
- ρ: 6.20 Mg/m³
- Calculated volume: 23.47 Å³ per atom
- Magnetization: 0.00 μB/f.u.
- Space-group type: P6_3/mmc (194)

Cell: 4.079 4.079 16.285 Å, 90.00 90.00 120.00°
Element x y z (fractional)
Sr1 0.000 0.000 0.000
Sr2 0.000 0.000 0.500
Pd1 0.000 0.000 0.250
Pd2 0.000 0.000 0.750
Pd3 0.333 0.667 0.887
Pd4 0.333 0.667 0.613
Pd5 0.667 0.333 0.387
Pd6 0.667 0.333 0.113
P1 0.333 0.667 0.750
P2 0.667 0.333 0.250

#iii
This record from Alexandria describes a relaxed SrPPd3 crystal. The functional is PBE.

Values from the calculation:
- ρ: 7.36 Mg/m³
- Calculated volume: 19.76 Å³ per atom
- Magnetization: 0.00 μB/f.u.
- Space-group type: C2/m (12)

Cell: 18.846 7.754 7.754 Å, 146.93 155.28 24.72°
Element x y z (fractional)
Sr1 0.766 0.079 0.921
Sr2 0.234 0.921 0.079
Pd1 0.747 0.321 0.679
Pd2 0.253 0.679 0.321
Pd3 0.012 0.393 0.607
Pd4 0.988 0.607 0.393
Pd5 0.469 0.835 0.165
Pd6 0.531 0.165 0.835
P1 0.647 0.877 0.123
P2 0.353 0.123 0.877

#iv
This record from Alexandria describes a relaxed SrPPd3 crystal. The functional is PBE.

Values from the calculation:
- ρ: 7.32 Mg/m³
- Calculated volume: 19.87 Å³ per atom
- Magnetization: 0.00 μB/f.u.
- Space-group type: Cmcm (63)

Cell: 7.587 8.916 5.875 Å, 90.00 90.00 90.00°
Element x y z (fractional)
Sr1 0.514 0.250 0.500
Sr2 0.986 0.750 0.000
Sr3 0.486 0.750 0.500
Sr4 0.014 0.250 0.000
Pd1 0.250 0.000 0.750
Pd2 0.250 0.500 0.250
Pd3 0.250 0.000 0.250
Pd4 0.750 0.500 0.250
Pd5 0.750 0.000 0.250
Pd6 0.750 0.500 0.750
Pd7 0.750 0.000 0.750
Pd8 0.250 0.500 0.750
Pd9 0.604 0.250 0.000
Pd10 0.896 0.750 0.500
Pd11 0.396 0.750 0.000
Pd12 0.104 0.250 0.500
P1 0.000 0.000 0.500
P2 0.500 0.500 0.000
P3 0.500 0.000 0.000
P4 0.000 0.500 0.500

Most stable to least stable: #iv, #i, #iii, #ii

#i
This record from Alexandria describes a relaxed SrPPd3 crystal. The functional is PBE.

Values from the calculation:
- ρ: 6.55 Mg/m³
- Calculated volume: 22.22 Å³ per atom
- Magnetization: 0.00 μB/f.u.
- Space-group type: I-4m2 (119)

Cell: 5.429 5.429 8.460 Å, 71.29 71.29 90.00°
Element x y z (fractional)
Sr1 0.594 0.094 0.812
Sr2 0.906 0.406 0.188
Pd1 0.127 0.874 0.251
Pd2 0.126 0.873 0.749
Pd3 0.126 0.378 0.749
Pd4 0.622 0.874 0.251
Pd5 0.287 0.287 0.426
Pd6 0.713 0.713 0.574
P1 0.000 0.000 0.000
P2 0.250 0.750 0.500

#ii
This record from Alexandria describes a relaxed SrPPd3 crystal. The functional is PBE.

Values from the calculation:
- ρ: 6.87 Mg/m³
- Calculated volume: 21.15 Å³ per atom
- Magnetization: 0.00 μB/f.u.
- Space-group type: P2_1/m (11)

Cell: 5.487 7.447 6.211 Å, 90.00 56.47 90.00°
Element x y z (fractional)
Sr1 0.786 0.250 0.296
Sr2 0.214 0.750 0.704
Pd1 0.700 0.546 0.746
Pd2 0.300 0.454 0.254
Pd3 0.700 0.954 0.746
Pd4 0.300 0.046 0.254
Pd5 0.057 0.250 0.696
Pd6 0.943 0.750 0.304
P1 0.553 0.250 0.903
P2 0.447 0.750 0.097

Most stable to least stable: #ii, #i

#i
This record from Alexandria describes a relaxed SrPPd3 crystal. The functional is PBE.

Values from the calculation:
- ρ: 6.26 Mg/m³
- Calculated volume: 23.24 Å³ per atom
- Magnetization: 0.00 μB/f.u.
- Space-group type: Cmcm (63)

Cell: 8.923 8.923 5.162 Å, 90.00 90.00 145.57°
Element x y z (fractional)
Sr1 0.389 0.611 0.250
Sr2 0.611 0.389 0.750
Pd1 0.960 0.527 0.250
Pd2 0.473 0.040 0.250
Pd3 0.527 0.960 0.750
Pd4 0.040 0.473 0.750
Pd5 0.000 0.000 0.000
Pd6 0.000 0.000 0.500
P1 0.112 0.888 0.250
P2 0.888 0.112 0.750

#ii
This record from Alexandria describes a relaxed SrPPd3 crystal. The functional is PBE.

Values from the calculation:
- ρ: 7.66 Mg/m³
- Calculated volume: 18.99 Å³ per atom
- Magnetization: 0.00 μB/f.u.
- Space-group type: P4/nmm (129)

Cell: 5.341 5.963 5.963 Å, 90.00 90.00 90.00°
Element x y z (fractional)
P1 0.123 0.693 0.915
P2 0.697 0.193 0.415
Pd1 0.555 0.693 0.915
Pd2 0.910 0.943 0.165
Pd3 0.265 0.193 0.415
Pd4 0.910 0.443 0.165
Pd5 0.910 0.943 0.665
Pd6 0.910 0.443 0.665
Sr1 0.410 0.193 0.915
Sr2 0.410 0.693 0.415

Most stable to least stable: #ii, #i

#i
This record from Alexandria describes a relaxed Sr2P2Pd crystal. The functional is PBE.

Values from the calculation:
- ρ: 5.07 Mg/m³
- Calculated volume: 22.50 Å³ per atom
- Magnetization: 0.00 μB/f.u.
- Space-group type: P4/mbm (127)

Cell: 7.071 7.071 4.499 Å, 90.00 90.00 90.00°
Element x y z (fractional)
Sr1 0.182 0.682 0.500
Sr2 0.682 0.818 0.500
Sr3 0.818 0.318 0.500
Sr4 0.318 0.182 0.500
Pd1 0.000 0.000 0.000
Pd2 0.500 0.500 0.000
P1 0.385 0.885 0.000
P2 0.885 0.615 0.000
P3 0.615 0.115 0.000
P4 0.115 0.385 0.000

#ii
This record from Alexandria describes a relaxed Sr2P2Pd crystal. The functional is PBE.

Values from the calculation:
- ρ: 4.41 Mg/m³
- Calculated volume: 25.89 Å³ per atom
- Magnetization: 0.00 μB/f.u.
- Space-group type: I4/mmm (139)

Cell: 5.999 5.999 5.561 Å, 57.36 57.36 90.00°
Element x y z (fractional)
Sr1 0.750 0.250 0.500
Sr2 0.250 0.750 0.500
Pd1 0.000 0.000 0.000
P1 0.333 0.333 0.334
P2 0.667 0.667 0.666

#iii
This record from Alexandria describes a relaxed Sr2P2Pd crystal. The functional is PBE.

Values from the calculation:
- ρ: 4.73 Mg/m³
- Calculated volume: 24.11 Å³ per atom
- Magnetization: 0.00 μB/f.u.
- Space-group type: C2/m (12)

Cell: 4.117 6.074 10.644 Å, 75.86 78.85 70.19°
Element x y z (fractional)
Sr1 0.701 0.242 0.355
Sr2 0.911 0.274 0.904
Sr3 0.299 0.758 0.645
Sr4 0.089 0.726 0.096
P1 0.036 0.345 0.584
P2 0.655 0.835 0.855
P3 0.964 0.655 0.416
P4 0.345 0.165 0.145
Pd1 0.571 0.181 0.677
Pd2 0.429 0.819 0.323

Most stable to least stable: #iii, #i, #ii

#i
This record from Alexandria describes a relaxed SrP3Pd crystal. The functional is PBE.

Values from the calculation:
- ρ: 3.06 Mg/m³
- Calculated volume: 31.16 Å³ per atom
- Magnetization: 0.00 μB/f.u.
- Space-group type: Pm-3m (221)

Cell: 5.381 5.381 5.381 Å, 90.00 90.00 90.00°
Element x y z (fractional)
Sr1 0.000 0.000 0.000
Pd1 0.500 0.500 0.500
P1 0.000 0.500 0.000
P2 0.000 0.000 0.500
P3 0.500 0.000 0.000

#ii
This record from Alexandria describes a relaxed SrP3Pd crystal. The functional is PBE.

Values from the calculation:
- ρ: 4.29 Mg/m³
- Calculated volume: 22.20 Å³ per atom
- Magnetization: 0.00 μB/f.u.
- Space-group type: Pm-3m (221)

Cell: 4.806 4.806 4.806 Å, 90.00 90.00 90.00°
Element x y z (fractional)
Sr1 0.500 0.500 0.500
Pd1 0.000 0.000 0.000
P1 0.000 0.500 0.000
P2 0.000 0.000 0.500
P3 0.500 0.000 0.000

Most stable to least stable: #ii, #i

#i
This record from Alexandria describes a relaxed TaP2Pd crystal. The functional is PBE.

Values from the calculation:
- ρ: 8.80 Mg/m³
- Calculated volume: 16.48 Å³ per atom
- Magnetization: 0.00 μB/f.u.
- Space-group type: R-3m (166)

Cell: 3.559 3.559 6.350 Å, 73.73 73.73 60.00°
Element x y z (fractional)
P1 0.250 0.250 0.250
P2 0.750 0.750 0.750
Pd1 0.000 0.000 0.000
Ta1 0.500 0.500 0.500

#ii
This record from Alexandria describes a relaxed TaP2Pd crystal. The functional is PBE.

Values from the calculation:
- ρ: 9.78 Mg/m³
- Calculated volume: 14.82 Å³ per atom
- Magnetization: 0.00 μB/f.u.
- Space-group type: Fm-3m (225)

Cell: 4.377 4.377 4.377 Å, 60.00 60.00 60.00°
Element x y z (fractional)
P1 0.250 0.250 0.250
P2 0.750 0.750 0.750
Pd1 0.000 0.000 0.000
Ta1 0.500 0.500 0.500

Most stable to least stable: #ii, #i

#i
This record from Alexandria describes a relaxed TaPPd3 crystal. The functional is PBE.

Values from the calculation:
- ρ: 7.86 Mg/m³
- Calculated volume: 22.45 Å³ per atom
- Magnetization: 0.00 μB/f.u.
- Space-group type: Pm-3m (221)

Cell: 4.824 4.824 4.824 Å, 90.00 90.00 90.00°
Element x y z (fractional)
P1 0.500 0.500 0.500
Pd1 0.000 0.500 0.000
Pd2 0.000 0.000 0.500
Pd3 0.500 0.000 0.000
Ta1 0.000 0.000 0.000

#ii
This record from Alexandria describes a relaxed TaPPd3 crystal. The functional is PBE.

Values from the calculation:
- ρ: 9.96 Mg/m³
- Calculated volume: 17.71 Å³ per atom
- Magnetization: 1.79 μB/f.u.
- Space-group type: Pm-3m (221)

Cell: 4.457 4.457 4.457 Å, 90.00 90.00 90.00°
Element x y z (fractional)
P1 0.000 0.000 0.000
Pd1 0.000 0.500 0.000
Pd2 0.000 0.000 0.500
Pd3 0.500 0.000 0.000
Ta1 0.500 0.500 0.500

Most stable to least stable: #ii, #i

#i
This record from Alexandria describes a relaxed TcP2Pd2 crystal. The functional is PBE.

Values from the calculation:
- ρ: 8.10 Mg/m³
- Calculated volume: 15.28 Å³ per atom
- Magnetization: 2.78 μB/f.u.
- Space-group type: I4/mmm (139)

Cell: 3.960 3.960 5.619 Å, 69.37 69.37 90.00°
Element x y z (fractional)
P1 0.393 0.393 0.214
P2 0.607 0.607 0.786
Tc1 0.000 0.000 0.000
Pd1 0.750 0.250 0.500
Pd2 0.250 0.750 0.500

#ii
This record from Alexandria describes a relaxed TcP2Pd2 crystal. The functional is PBE.

Values from the calculation:
- ρ: 8.07 Mg/m³
- Calculated volume: 15.33 Å³ per atom
- Magnetization: 0.00 μB/f.u.
- Space-group type: P4/mbm (127)

Cell: 6.038 6.038 4.205 Å, 90.00 90.00 90.00°
Element x y z (fractional)
P1 0.371 0.871 0.000
P2 0.871 0.629 0.000
P3 0.629 0.129 0.000
P4 0.129 0.371 0.000
Tc1 0.000 0.000 0.000
Tc2 0.500 0.500 0.000
Pd1 0.255 0.755 0.500
Pd2 0.755 0.745 0.500
Pd3 0.745 0.245 0.500
Pd4 0.245 0.255 0.500

Most stable to least stable: #ii, #i

#i
This record from Alexandria describes a relaxed Tc3PPd crystal. The functional is PBE.

Values from the calculation:
- ρ: 8.74 Mg/m³
- Calculated volume: 16.40 Å³ per atom
- Magnetization: 0.00 μB/f.u.
- Space-group type: Pm-3m (221)

Cell: 4.344 4.344 4.344 Å, 90.00 90.00 90.00°
Element x y z (fractional)
P1 0.000 0.000 0.000
Tc1 0.000 0.500 0.000
Tc2 0.000 0.000 0.500
Tc3 0.500 0.000 0.000
Pd1 0.500 0.500 0.500

#ii
This record from Alexandria describes a relaxed Tc3PPd crystal. The functional is PBE.

Values from the calculation:
- ρ: 6.63 Mg/m³
- Calculated volume: 21.60 Å³ per atom
- Magnetization: 6.97 μB/f.u.
- Space-group type: Pm-3m (221)

Cell: 4.762 4.762 4.762 Å, 90.00 90.00 90.00°
Element x y z (fractional)
P1 0.500 0.500 0.500
Tc1 0.000 0.500 0.000
Tc2 0.000 0.000 0.500
Tc3 0.500 0.000 0.000
Pd1 0.000 0.000 0.000

Most stable to least stable: #i, #ii

#i
This record from Alexandria describes a relaxed TcPPd3 crystal. The functional is PBE.

Values from the calculation:
- ρ: 6.96 Mg/m³
- Calculated volume: 21.39 Å³ per atom
- Magnetization: 0.00 μB/f.u.
- Space-group type: Pm-3m (221)

Cell: 4.747 4.747 4.747 Å, 90.00 90.00 90.00°
Element x y z (fractional)
P1 0.500 0.500 0.500
Tc1 0.000 0.000 0.000
Pd1 0.000 0.500 0.000
Pd2 0.000 0.000 0.500
Pd3 0.500 0.000 0.000

#ii
This record from Alexandria describes a relaxed TcPPd3 crystal. The functional is PBE.

Values from the calculation:
- ρ: 8.25 Mg/m³
- Calculated volume: 18.05 Å³ per atom
- Magnetization: 4.26 μB/f.u.
- Space-group type: Pm-3m (221)

Cell: 4.486 4.486 4.486 Å, 90.00 90.00 90.00°
Element x y z (fractional)
P1 0.000 0.000 0.000
Tc1 0.500 0.500 0.500
Pd1 0.000 0.500 0.000
Pd2 0.000 0.000 0.500
Pd3 0.500 0.000 0.000

Most stable to least stable: #ii, #i